## Gd2TmScTl2 (PBE)

Data for an optimized crystal structure of Gd2TmScTl2.

Geometry as extended XYZ:
```
6
Lattice="-2.725 -4.527 -0.192 3.393 1.209 -3.870 4.891 -3.086 3.325" Properties=species:S:1:pos:R:3 pbc="T T T"
Gd 3.626 -2.288 2.465
Tm -0.686 -2.615 -1.418
Tl 1.760 -4.158 0.244
Gd 1.265 -0.798 0.860
Tl 1.354 -0.703 -2.644
Sc 3.800 -2.246 -0.982
```

Summary:
- electronic total energy (eV per atom) = -4.401
- size of the total moment (μB/f.u.) = 1.15

---

## GdTmSc (PBE)

Data for an optimized crystal structure of GdTmSc.

Geometry as extended XYZ:
```
3
Lattice="1.050 -1.261 4.963 -0.203 3.661 3.725 -3.842 -0.087 3.543" Properties=species:S:1:pos:R:3 pbc="T T T"
Gd -0.749 0.578 3.058
Tm -2.247 1.735 9.174
Sc 0.000 0.000 0.000
```

Summary:
- energy above the lowest structure with this stoichiometry (meV per atom) = 0
- energy of formation (eV/atom) = 0.69
- size of the total moment (μB/f.u.) = 0.00

---

## GdScU (PBE)

Data for an optimized crystal structure of GdScU.

Geometry as extended XYZ:
```
3
Lattice="0.000 3.625 3.625 3.625 0.000 3.625 3.625 3.625 0.000" Properties=species:S:1:pos:R:3 pbc="T T T"
U 5.437 5.437 5.437
Gd 1.812 1.812 1.812
Sc 0.000 0.000 0.000
```

Summary:
- energy above the lowest structure with this stoichiometry (meV per atom) = 0
- energy of formation (eV/atom) = 1.19
- size of the total moment (μB/f.u.) = 3.67

---

## GdScW (PBE)

Data for an optimized crystal structure of GdScW.

Geometry as extended XYZ:
```
3
Lattice="4.161 -1.872 1.239 0.358 -2.551 3.965 0.656 -4.676 -0.248" Properties=species:S:1:pos:R:3 pbc="T T T"
Gd 1.294 -2.275 1.239
W 3.882 -6.825 3.718
Sc 0.000 0.000 0.000
```

Summary:
- energy above the lowest structure with this stoichiometry (meV per atom) = 0
- energy of formation (eV/atom) = 1.27
- size of the total moment (μB/f.u.) = 1.52

---

## GdScW (PBE)

Data for an optimized crystal structure of GdScW.

Geometry as extended XYZ:
```
3
Lattice="3.030 -3.610 -0.100 -1.588 -4.422 0.387 0.113 -2.880 -3.730" Properties=species:S:1:pos:R:3 pbc="T T T"
W 1.166 -8.184 -2.582
Sc 0.389 -2.728 -0.861
Gd 0.000 0.000 0.000
```

Summary:
- energy above the lowest structure with this stoichiometry (meV per atom) = 215
- energy of formation (eV/atom) = 1.49
- size of the total moment (μB/f.u.) = 0.04

---

## GdYSc (PBE)

Data for an optimized crystal structure of GdYSc.

Geometry as extended XYZ:
```
3
Lattice="0.000 3.727 3.727 3.727 0.000 3.727 3.727 3.727 0.000" Properties=species:S:1:pos:R:3 pbc="T T T"
Gd 1.863 1.863 1.863
Sc 0.000 0.000 0.000
Y 5.590 5.590 5.590
```

Summary:
- energy above the lowest structure with this stoichiometry (meV per atom) = 0
- energy of formation (eV/atom) = 0.69
- size of the total moment (μB/f.u.) = 0.01

---

## GdScZn (PBE)

Data for an optimized crystal structure of GdScZn.

Geometry as extended XYZ:
```
3
Lattice="1.776 -1.210 4.298 0.620 3.362 3.377 -2.838 0.063 3.877" Properties=species:S:1:pos:R:3 pbc="T T T"
Zn 0.000 0.000 0.000
Sc -0.331 1.661 8.664
Gd -0.110 0.554 2.888
```

Summary:
- energy above the lowest structure with this stoichiometry (meV per atom) = 0
- energy of formation (eV/atom) = 0.04
- size of the total moment (μB/f.u.) = 0.00

---

## GdZrSc (PBE)

Data for an optimized crystal structure of GdZrSc.

Geometry as extended XYZ:
```
3
Lattice="0.000 3.555 3.555 3.555 0.000 3.555 3.555 3.555 0.000" Properties=species:S:1:pos:R:3 pbc="T T T"
Gd 1.778 1.778 1.778
Zr 5.333 5.333 5.333
Sc 0.000 0.000 0.000
```

Summary:
- energy of formation (eV/atom) = 0.86
- size of the total moment (μB/f.u.) = 0.10

---

## Gd2Se (PBE)

Data for an optimized crystal structure of Gd2Se.

Geometry as extended XYZ:
```
6
Lattice="-5.051 0.805 3.478 -5.440 -2.267 -1.876 -2.525 -4.816 2.947" Properties=species:S:1:pos:R:3 pbc="T T T"
Se 0.000 0.000 0.000
Gd -6.872 -1.516 1.369
Se -3.254 -1.569 1.137
Gd -5.415 -2.790 3.781
Gd -8.135 -3.924 2.843
Gd -5.609 -4.326 1.104
```

Summary:
- electronic total energy (eV per atom) = -4.319
- size of the total moment (μB/f.u.) = 0.02

---

## Gd2Se3 (PBE)

Data for an optimized crystal structure of Gd2Se3.

Geometry as extended XYZ:
```
20
Lattice="11.239 0.000 0.000 0.000 4.063 0.000 0.000 0.000 11.003" Properties=species:S:1:pos:R:3 pbc="T T T"
Se 3.064 3.047 7.674
Se 1.346 3.047 4.883
Se 4.274 1.016 10.384
Gd 9.059 1.016 10.986
Gd 5.477 1.016 2.060
Se 5.119 3.047 4.124
Se 0.500 1.016 9.626
Se 8.174 1.016 3.329
Gd 2.179 3.047 0.017
Gd 3.440 1.016 5.519
Se 6.965 3.047 0.619
Se 2.555 1.016 2.172
Gd 11.096 1.016 3.441
Se 8.683 3.047 8.831
Se 10.738 3.047 1.377
Gd 7.799 3.047 5.484
Gd 5.762 3.047 8.943
Se 6.120 1.016 6.879
Se 9.893 1.016 6.120
Gd 0.143 3.047 7.562
```

Summary:
- electronic total energy (eV per atom) = -5.842
- size of the total moment (μB/f.u.) = 0.00

---

## Gd2Se3 (PBE)

Data for an optimized crystal structure of Gd2Se3.

Geometry as extended XYZ:
```
20
Lattice="-0.943 -0.689 3.955 -8.475 -5.227 -2.931 8.299 -11.082 -4.237" Properties=species:S:1:pos:R:3 pbc="T T T"
Se 6.111 -10.370 -1.401
Se 2.267 -8.741 0.112
Se -7.230 -6.628 -1.812
Se 2.167 -4.847 -1.388
Gd -2.201 -9.700 -1.144
Se -2.007 -3.277 2.188
Se 0.888 -13.721 -5.400
Gd -4.318 -6.572 -1.105
Gd -7.625 -4.945 0.534
Gd -1.211 -12.756 -3.584
Se -1.252 -6.810 -0.393
Se -4.935 -5.067 1.159
Se -3.286 -12.150 -1.824
Gd 3.198 -10.426 -2.108
Se 0.132 -10.187 -2.819
Gd 6.506 -12.052 -3.746
Se 3.816 -11.930 -4.372
Gd 1.082 -7.298 -2.069
Se -3.386 -8.256 -3.325
Gd 0.092 -4.242 0.371
```

Summary:
- electronic total energy (eV per atom) = -5.738
- size of the total moment (μB/f.u.) = 0.00

---

## GdSn2Se3 (PBE)

Data for an optimized crystal structure of GdSn2Se3.

Geometry as extended XYZ:
```
6
Lattice="4.084 0.000 0.000 -2.042 3.537 0.000 0.000 0.000 11.640" Properties=species:S:1:pos:R:3 pbc="T T T"
Se 0.000 2.358 1.659
Se 2.042 1.179 9.981
Se 0.000 0.000 5.820
Sn 0.000 2.358 7.680
Sn 2.042 1.179 3.960
Gd 0.000 0.000 0.000
```

Summary:
- electronic total energy (eV per atom) = -4.723
- size of the total moment (μB/f.u.) = 0.05